The following is a DFT calculation (PBE-GGA) of a geometry-optimized NbTcSeBr2 structure.

CIF file:
```
data_NbTcSeBr2
_chemical_formula_sum 'Nb1 Tc1 Se1 Br2'
_cell_length_a 5.2497
_cell_length_b 5.2497
_cell_length_c 5.0606
_cell_angle_alpha 90.00
_cell_angle_beta 90.00
_cell_angle_gamma 90.00
_space_group_name_H-M_alt 'P 4/m m m'
_space_group_IT_number 123
_space_group_name_Hall '-P 4 2'
loop_
_atom_site_label
_atom_site_fract_x
_atom_site_fract_y
_atom_site_fract_z
Nb1 0.0000 0.0000 0.0000
Tc1 0.5000 0.5000 0.5000
Se1 0.0000 0.0000 0.5000
Br1 0.0000 0.5000 0.0000
```

Summary:
- Energy above the most stable polymorph in this dataset: 0.0 meV per atom
- Uncorrected formation energy: 317.2 kJ/mol of formula units
- Final energy: -0.1762 Ha/atom
- N(E_F): 6.2 states/eV per cell

***

The following is a DFT calculation (PBE-GGA) of a geometry-optimized Dy5Ho2Tl structure.

CIF file:
```
data_Dy5Ho2Tl
_chemical_formula_sum 'Dy10 Ho4 Tl2'
_cell_length_a 3.5443
_cell_length_b 6.6498
_cell_length_c 21.0036
_cell_angle_alpha 90.00
_cell_angle_beta 90.00
_cell_angle_gamma 90.00
_space_group_name_H-M_alt 'I m m m'
_space_group_IT_number 71
_space_group_name_Hall '-I 2 2'
loop_
_atom_site_label
_atom_site_fract_x
_atom_site_fract_y
_atom_site_fract_z
Dy1 0.0000 0.0000 0.0000
Dy2 0.0000 0.2500 0.3847
Ho1 0.0000 0.0000 0.2392
Tl1 0.0000 0.5000 0.0000
```

Summary:
- Energy above the most stable polymorph in this dataset: 62.9 meV per atom
- Final energy: -0.1582 Ha/atom
- N(E_F): 23.1 states/eV per cell

***

The following is a DFT calculation (PBE-GGA) of a geometry-optimized CaLaAs structure.

CIF file:
```
data_CaLaAs
_chemical_formula_sum 'Ca1 La1 As1'
_cell_length_a 4.7830
_cell_length_b 4.7830
_cell_length_c 4.4867
_cell_angle_alpha 90.00
_cell_angle_beta 90.00
_cell_angle_gamma 120.00
_space_group_name_H-M_alt 'P 3 m 1'
_space_group_IT_number 156
_space_group_name_Hall 'P 3 -2"'
loop_
_atom_site_label
_atom_site_fract_x
_atom_site_fract_y
_atom_site_fract_z
Ca1 0.0000 0.0000 0.0000
La1 0.6667 0.3333 0.4843
As1 0.3333 0.6667 0.8692
```

Summary:
- Energy above the most stable polymorph in this dataset: 166.9 meV per atom
- Final energy: -0.1678 Ha/atom
- N(E_F): 1.1 states/eV per cell

***

The following is a DFT calculation (PBE-GGA) of a geometry-optimized ScNi3H structure.

CIF file:
```
data_ScNi3H
_chemical_formula_sum 'Sc2 Ni6 H2'
_cell_length_a 2.6832
_cell_length_b 4.8131
_cell_length_c 11.7534
_cell_angle_alpha 90.00
_cell_angle_beta 90.00
_cell_angle_gamma 90.00
_space_group_name_H-M_alt 'A m m 2'
_space_group_IT_number 38
_space_group_name_Hall 'A 2 -2'
loop_
_atom_site_label
_atom_site_fract_x
_atom_site_fract_y
_atom_site_fract_z
Sc1 0.0000 0.0000 0.0000
Ni1 0.0000 0.2443 0.1857
Ni2 0.5000 0.0000 0.8242
H1 0.5000 0.0000 0.6581
```

Summary:
- Energy above the most stable polymorph in this dataset: 819.4 meV per atom
- Final energy: -0.1839 Ha/atom
- N(E_F): 6.5 states/eV per cell

***

The following is a DFT calculation (PBE-GGA) of a geometry-optimized CaPm2PaAs4 structure.

CIF file:
```
data_CaPm2PaAs4
_chemical_formula_sum 'Ca1 Pm2 Pa1 As4'
_cell_length_a 7.2378
_cell_length_b 4.2051
_cell_length_c 7.2601
_cell_angle_alpha 90.00
_cell_angle_beta 109.22
_cell_angle_gamma 90.00
_space_group_name_H-M_alt 'P 1 2/m 1'
_space_group_IT_number 10
_space_group_name_Hall '-P 2y'
loop_
_atom_site_label
_atom_site_fract_x
_atom_site_fract_y
_atom_site_fract_z
Ca1 0.0000 0.0000 0.0000
Pm1 0.0000 0.5000 0.5000
Pm2 0.5000 0.0000 0.5000
Pa1 0.5000 0.5000 0.0000
As1 0.2594 0.5000 0.2424
As2 0.2601 0.0000 0.7600
```

Summary:
- Final energy: -0.2311 Ha/atom
- N(E_F): 3.7 states/eV per cell

***

The following is a DFT calculation (PBE-GGA) of a geometry-optimized Al3Se2 structure.

CIF file:
```
data_Al3Se2
_chemical_formula_sum 'Al24 Se16'
_cell_length_a 10.2287
_cell_length_b 13.4584
_cell_length_c 5.8561
_cell_angle_alpha 90.00
_cell_angle_beta 90.00
_cell_angle_gamma 90.00
_space_group_name_H-M_alt 'F d d 2'
_space_group_IT_number 43
_space_group_name_Hall 'F 2 -2d'
loop_
_atom_site_label
_atom_site_fract_x
_atom_site_fract_y
_atom_site_fract_z
Al1 0.0000 0.0000 0.0000
Al2 0.0231 0.1224 0.6366
Se1 0.0880 0.3032 0.5479
```

Summary:
- Energy above the most stable polymorph in this dataset: 0.0 meV per atom
- Uncorrected formation energy: -140.8 kJ/mol of formula units
- Final energy: -0.1445 Ha/atom
- N(E_F): 10.1 states/eV per cell

***

The following is a DFT calculation (PBE-GGA) of a geometry-optimized Li2ErGa2Pd2 structure.

CIF file:
```
data_Li2ErGa2Pd2
_chemical_formula_sum 'Li4 Er2 Ga4 Pd4'
_cell_length_a 7.7432
_cell_length_b 4.4367
_cell_length_c 7.4317
_cell_angle_alpha 90.00
_cell_angle_beta 109.58
_cell_angle_gamma 90.00
_space_group_name_H-M_alt 'C 1 2/m 1'
_space_group_IT_number 12
_space_group_name_Hall '-C 2y'
loop_
_atom_site_label
_atom_site_fract_x
_atom_site_fract_y
_atom_site_fract_z
Li1 0.0767 0.0000 0.2247
Er1 0.0000 0.5000 0.5000
Ga1 0.1396 0.5000 0.9205
Pd1 0.2365 0.0000 0.7162
```

Summary:
- Final energy: -0.1505 Ha/atom
- N(E_F): 5.6 states/eV per cell

***

The following is a DFT calculation (PBE-GGA) of a geometry-optimized AcZnPb structure.

CIF file:
```
data_AcZnPb
_chemical_formula_sum 'Ac3 Zn3 Pb3'
_cell_length_a 4.7891
_cell_length_b 4.7891
_cell_length_c 13.5944
_cell_angle_alpha 90.00
_cell_angle_beta 90.00
_cell_angle_gamma 120.00
_space_group_name_H-M_alt 'P -6 m 2'
_space_group_IT_number 187
_space_group_name_Hall 'P -6 2'
loop_
_atom_site_label
_atom_site_fract_x
_atom_site_fract_y
_atom_site_fract_z
Ac1 0.0000 0.0000 0.0000
Ac2 0.0000 0.0000 0.3311
Zn1 0.3333 0.6667 0.5000
Zn2 0.6667 0.3333 0.1249
Pb1 0.3333 0.6667 0.1785
Pb2 0.6667 0.3333 0.5000
```

Summary:
- Energy above the most stable polymorph in this dataset: 0.0 meV per atom
- Final energy: -0.1273 Ha/atom
- N(E_F): 3.6 states/eV per cell